# Fe2MoRu, optimized geometry, DFT PBE
data_Fe2MoRu
_symmetry_space_group_name_H-M 'P 1'
_symmetry_Int_Tables_number 1
_cell_length_a 8.864
_cell_length_b 8.864
_cell_length_c 8.864
_cell_angle_alpha 17.21
_cell_angle_beta 17.21
_cell_angle_gamma 17.21
loop_
_symmetry_equiv_pos_as_xyz
'x,y,z'
loop_
_atom_site_label
_atom_site_type_symbol
_atom_site_fract_x
_atom_site_fract_y
_atom_site_fract_z
_atom_site_occupancy
Fe1 Fe 0.247 0.247 0.247 1
Fe2 Fe 0.753 0.753 0.753 1
Mo1 Mo 0.000 0.000 0.000 1
Ru1 Ru 0.500 0.500 0.500 1
# Crystal system   trigonal
# SG   R-3m (166)

---

# FeMo2Ru, optimized geometry, DFT PBE
data_FeMo2Ru
_symmetry_space_group_name_H-M 'P 1'
_symmetry_Int_Tables_number 1
_cell_length_a 5.060
_cell_length_b 5.060
_cell_length_c 5.060
_cell_angle_alpha 144.05
_cell_angle_beta 129.27
_cell_angle_gamma 63.74
loop_
_symmetry_equiv_pos_as_xyz
'x,y,z'
loop_
_atom_site_label
_atom_site_type_symbol
_atom_site_fract_x
_atom_site_fract_y
_atom_site_fract_z
_atom_site_occupancy
Fe1 Fe 0.000 0.000 0.000 1
Mo1 Mo 0.240 0.740 0.500 1
Mo2 Mo 0.484 0.484 0.000 1
Ru1 Ru 0.742 0.242 0.500 1
# Crystal system   orthorhombic
# SG   Imm2 (44)

---

# FeMo2Ru, optimized geometry, DFT PBE
data_FeMo2Ru
_symmetry_space_group_name_H-M 'P 1'
_symmetry_Int_Tables_number 1
_cell_length_a 2.747
_cell_length_b 2.747
_cell_length_c 7.433
_cell_angle_alpha 90.00
_cell_angle_beta 90.00
_cell_angle_gamma 90.00
loop_
_symmetry_equiv_pos_as_xyz
'x,y,z'
loop_
_atom_site_label
_atom_site_type_symbol
_atom_site_fract_x
_atom_site_fract_y
_atom_site_fract_z
_atom_site_occupancy
Fe1 Fe 0.000 0.000 0.000 1
Mo1 Mo 0.500 0.500 0.235 1
Mo2 Mo 0.500 0.500 0.765 1
Ru1 Ru 0.000 0.000 0.500 1
# Crystal system   tetragonal
# SG   P4/mmm (123)

---

Record-wise total energy values, in eV/atom: -9.0009 -9.6681 -9.7348
Record-wise total magnetic moment values, in μB per cell: 3.58 2.44 0.00